No. 1
Material: Cr4CuTc
Method: DFT, PBE
State: relaxed

Properties
Total moment (μB per cell): 0.00
ΔE_f (eV per atom): 0.146
Density of states at the Fermi level (states/eV/atom): 0.293

```
6
Lattice="1.229 -0.534 4.522 -3.324 -0.590 3.293 -0.516 -4.188 2.105" Properties=species:S:1:pos:R:3 pbc="T T T"
Cr -0.377 -2.264 5.968
Cr -1.238 -4.068 4.775
Cr -2.625 -2.292 5.362
Cr -0.983 -2.000 3.736
Cu -1.959 -3.984 7.440
Tc 0.000 0.000 0.000
```

=====

No. 2
Material: CrCu2Tc
Method: DFT, PBE
State: relaxed

Properties
Total moment (μB per cell): 0.00
ΔE_f (eV per atom): 0.242
E above lowest polymorph (eV per atom): 0.048
Density of states at the Fermi level (states/eV/atom): 0.916

```
4
Lattice="2.534 0.000 0.000 0.000 2.534 0.000 0.000 0.000 7.869" Properties=species:S:1:pos:R:3 pbc="T T T"
Cr 1.267 1.267 6.011
Cu 0.000 0.000 0.008
Cu 1.267 1.267 1.871
Tc 0.000 0.000 3.914
```

=====

No. 3
Material: CrCu2Tc
Method: DFT, PBE
State: relaxed

Properties
Total moment (μB per cell): 1.01
ΔE_f (eV per atom): 0.240
E above lowest polymorph (eV per atom): 0.045
Density of states at the Fermi level (states/eV/atom): 0.704

```
4
Lattice="4.511 -0.039 -0.194 1.476 4.263 0.194 -2.877 -2.276 2.632" Properties=species:S:1:pos:R:3 pbc="T T T"
Cr 0.797 2.050 1.413
Cu 0.000 0.000 0.000
Cu 2.314 -0.102 1.219
Tc 2.992 2.111 0.000
```

=====

No. 4
Material: CrCu4Tc
Method: DFT, PBE
State: relaxed

Properties
Total moment (μB per cell): 1.55
ΔE_f (eV per atom): 0.261
Density of states at the Fermi level (states/eV/atom): 0.582

```
6
Lattice="0.000 3.381 3.381 3.381 0.000 3.381 3.381 3.381 0.000" Properties=species:S:1:pos:R:3 pbc="T T T"
Cr 0.000 0.000 0.000
Cu 2.535 4.227 4.227
Cu 4.227 4.227 2.535
Cu 4.227 2.535 4.227
Cu 2.535 2.535 2.535
Tc 5.072 5.072 5.072
```

=====

No. 5
Material: Cr2CuTc2
Method: DFT, PBE
State: relaxed

Properties
Total moment (μB per cell): 0.00
ΔE_f (eV per atom): 0.325
Density of states at the Fermi level (states/eV/atom): 0.725

```
10
Lattice="-6.619 -0.663 2.164 0.427 -6.935 -0.817 0.890 -0.257 2.645" Properties=species:S:1:pos:R:3 pbc="T T T"
Cr -2.002 -6.186 0.073
Cr -5.404 -5.021 1.332
Cr -4.190 -1.411 1.274
Cr -0.788 -2.576 0.015
Tc -0.328 -4.806 1.128
Tc -3.560 -6.395 2.062
Tc -4.974 -3.048 2.863
Tc -1.742 -1.459 1.929
Cu 0.000 0.000 0.000
Cu -3.096 -3.799 0.673
```

=====

No. 6
Material: CrCu2Tc
Method: DFT, PBE
State: relaxed

Properties
Total moment (μB per cell): 0.00
ΔE_f (eV per atom): 0.242
E above lowest polymorph (eV per atom): 0.048
Density of states at the Fermi level (states/eV/atom): 0.307

```
4
Lattice="4.108 0.000 0.000 0.000 2.485 0.160 0.000 2.183 5.066" Properties=species:S:1:pos:R:3 pbc="T T T"
Cr 2.054 3.501 3.919
Cu 0.000 2.183 5.048
Cu 0.000 2.333 2.631
Tc 2.054 1.167 1.306
```

=====

No. 7
Material: CrCu2Tc
Method: DFT, PBE
State: relaxed

Properties
Total moment (μB per cell): 0.00
ΔE_f (eV per atom): 0.217
E above lowest polymorph (eV per atom): 0.023
Density of states at the Fermi level (states/eV/atom): 0.797

```
4
Lattice="-1.539 2.044 -3.295 -0.416 -2.171 -1.153 -4.542 -0.612 1.742" Properties=species:S:1:pos:R:3 pbc="T T T"
Cr -4.467 -1.015 -1.184
Cu -0.054 -0.243 -0.126
Cu -1.934 0.604 -1.363
Tc -2.521 -1.478 0.261
```

=====

No. 8
Material: Cr3CuTc
Method: DFT, PBE
State: relaxed

Properties
Total moment (μB per cell): 8.70
ΔE_f (eV per atom): 1.425
E above lowest polymorph (eV per atom): 0.000
Density of states at the Fermi level (states/eV/atom): 0.681

```
5
Lattice="4.611 0.000 0.000 0.000 4.611 0.000 0.000 0.000 4.611" Properties=species:S:1:pos:R:3 pbc="T T T"
Cr 0.000 2.305 0.000
Cr 0.000 0.000 2.305
Cr 2.305 0.000 0.000
Tc 0.000 0.000 0.000
Cu 2.305 2.305 2.305
```

=====

No. 9
Material: CrCu2Tc
Method: DFT, PBE
State: relaxed

Properties
Total moment (μB per cell): 0.00
ΔE_f (eV per atom): 0.236
E above lowest polymorph (eV per atom): 0.042
Density of states at the Fermi level (states/eV/atom): 0.879

```
4
Lattice="-1.830 1.172 8.497 -0.259 -0.913 8.719 0.767 1.495 8.608" Properties=species:S:1:pos:R:3 pbc="T T T"
Cr -0.332 0.440 6.483
Cu -1.321 1.754 25.823
Cu -0.987 1.310 19.298
Tc -0.663 0.880 12.955
```

=====

No. 10
Material: CrCu2Tc
Method: DFT, PBE
State: relaxed

Properties
Total moment (μB per cell): 0.62
ΔE_f (eV per atom): 0.207
E above lowest polymorph (eV per atom): 0.013
Density of states at the Fermi level (states/eV/atom): 0.396

```
4
Lattice="4.814 -0.020 -0.047 2.278 4.241 0.047 -3.525 -2.146 2.479" Properties=species:S:1:pos:R:3 pbc="T T T"
Cr 1.150 2.102 1.263
Cu 7.091 4.221 0.000
Cu 3.546 2.111 0.000
Tc 2.417 -0.028 1.216
```

=====

No. 11
Material: CrCu2Tc
Method: DFT, PBE
State: relaxed

Properties
Total moment (μB per cell): 1.16
ΔE_f (eV per atom): 0.194
E above lowest polymorph (eV per atom): 0.000
Density of states at the Fermi level (states/eV/atom): 0.658

```
4
Lattice="3.049 0.000 0.000 0.000 3.049 0.000 0.000 0.000 5.539" Properties=species:S:1:pos:R:3 pbc="T T T"
Cr 1.524 1.524 4.097
Cu 0.000 0.000 0.062
Cu 1.524 1.524 1.277
Tc 0.000 0.000 2.872
```

=====

No. 12
Material: CrCu2Tc
Method: DFT, PBE
State: relaxed

Properties
Total moment (μB per cell): 0.00
ΔE_f (eV per atom): 0.533
E above lowest polymorph (eV per atom): 0.339
Density of states at the Fermi level (states/eV/atom): 1.091

```
4
Lattice="1.786 -2.643 2.664 -2.136 -3.262 1.437 0.993 -3.842 -1.236" Properties=species:S:1:pos:R:3 pbc="T T T"
Cr 0.000 0.000 0.000
Tc 0.321 -4.873 1.432
Cu 0.161 -2.437 0.716
Cu 0.482 -7.310 2.149
```